Record 1
# PBE BaAc3, relaxed
data_BaAc3
_chemical_formula_sum 'Ba1 Ac3'
_cell_length_a 5.755
_cell_length_b 5.755
_cell_length_c 5.755
_cell_angle_alpha 90.00
_cell_angle_beta 90.00
_cell_angle_gamma 90.00
_symmetry_space_group_name_H-M 'P m -3 m'
_symmetry_Int_Tables_number 221
_symmetry_space_group_name_Hall '-P 4 2 3'
loop_
_atom_site_label
_atom_site_type_symbol
_atom_site_fract_x
_atom_site_fract_y
_atom_site_fract_z
_atom_site_occupancy
Ba1 Ba 0.000 0.000 0.000 1
Ac1 Ac 0.000 0.500 0.500 1
# Total DFT energy (no corrections) = -3.47 eV per atom

Record 2
# PBE BaAcBeN2, relaxed
data_BaAcBeN2
_chemical_formula_sum 'Ba2 Ac2 Be2 N4'
_cell_length_a 5.353
_cell_length_b 5.855
_cell_length_c 7.459
_cell_angle_alpha 90.00
_cell_angle_beta 90.00
_cell_angle_gamma 90.00
_symmetry_space_group_name_H-M 'P c c m'
_symmetry_Int_Tables_number 49
loop_
_symmetry_equiv_pos_as_xyz
'x,y,z'
'-x,-y,-z'
'-x,-y,z'
'x,y,-z'
'x,-y,-z+1/2'
'-x,y,z+1/2'
'-x,y,-z+1/2'
'x,-y,z+1/2'
loop_
_atom_site_label
_atom_site_type_symbol
_atom_site_fract_x
_atom_site_fract_y
_atom_site_fract_z
_atom_site_occupancy
Ba1 Ba 0.000 0.000 0.250 1
Ac1 Ac 0.500 0.500 0.250 1
Be1 Be 0.500 0.000 0.000 1
N1 N 0.351 0.224 0.000 1
# Total DFT energy (no corrections) = -6.00 eV per atom
# Formation energy from raw total energies = -0.716 eV per atom

Record 3
# PBE BaAcBeO4, relaxed
data_BaAcBeO4
_chemical_formula_sum 'Ba2 Ac2 Be2 O8'
_cell_length_a 5.920
_cell_length_b 4.914
_cell_length_c 7.857
_cell_angle_alpha 90.00
_cell_angle_beta 103.19
_cell_angle_gamma 90.00
_symmetry_space_group_name_H-M 'P 1 21/m 1'
_symmetry_Int_Tables_number 11
loop_
_symmetry_equiv_pos_as_xyz
'x,y,z'
'-x,-y,-z'
'-x,y+1/2,-z'
'x,-y+1/2,z'
loop_
_atom_site_label
_atom_site_type_symbol
_atom_site_fract_x
_atom_site_fract_y
_atom_site_fract_z
_atom_site_occupancy
Ba1 Ba 0.233 0.250 0.455 1
Ac1 Ac 0.248 0.250 0.946 1
Be1 Be 0.268 0.750 0.203 1
O1 O 0.078 0.750 0.324 1
O2 O 0.149 0.750 0.992 1
O3 O 0.479 0.515 0.245 1
# Total DFT energy (no corrections) = -6.86 eV per atom
# Formation energy from raw total energies = -2.629 eV per atom

> total DFT energy (no corrections) of number 1 (BaAc3)?

-3.47 eV per atom

> Which value of total DFT energy (no corrections) does entry 2 give?

-6.00 eV per atom

> Which value of total DFT energy (no corrections) does entry 3 give?

-6.86 eV per atom